[1]
Crystalline Pm4ErGa5 at its relaxed geometry. Source: Alexandria via LeMat-Bulk, functional PBE.

POSCAR file:
```
Pm4ErGa5
1.0
-1.2436 1.9546 -2.8023
-2.5901 -2.4841 -0.5832
-11.1920 9.0256 11.2623
Pm Er Ga
4 1 5
Direct
0.0000 0.0000 0.1945 Pm
0.0000 0.0000 0.3983 Pm
0.0000 0.0000 0.6017 Pm
0.0000 0.0000 0.8055 Pm
0.0000 0.0000 0.0000 Er
0.5000 0.5000 0.0908 Ga
0.5000 0.5000 0.2963 Ga
0.5000 0.5000 0.5000 Ga
0.5000 0.5000 0.7037 Ga
0.5000 0.5000 0.9092 Ga
```

Summary:
ρ (g/cm3): 7.537
E_tot (eV/atom): -4.442
Energy of formation from the pure elements (meV/atom): -572

---

[2]
Crystalline Ho6RhO12 at its relaxed geometry. Source: Alexandria via LeMat-Bulk, functional PBE.

POSCAR file:
```
Ho6RhO12
1.0
6.3664 0.0097 -0.9683
-1.1281 6.2657 -0.9683
0.0081 0.0097 6.4396
Ho Rh O
6 1 12
Direct
0.6872 0.8566 0.3880 Ho
0.6120 0.3128 0.1434 Ho
0.1434 0.6120 0.3128 Ho
0.3128 0.1434 0.6120 Ho
0.3880 0.6872 0.8566 Ho
0.8566 0.3880 0.6872 Ho
0.0000 0.0000 0.0000 Rh
0.8223 0.5657 0.4095 O
0.4095 0.8223 0.5657 O
0.5657 0.4095 0.8223 O
0.1777 0.4343 0.5905 O
0.5905 0.1777 0.4343 O
0.4343 0.5905 0.1777 O
0.0707 0.9629 0.3016 O
0.0371 0.6984 0.9293 O
0.6984 0.9293 0.0371 O
0.9293 0.0371 0.6984 O
0.9629 0.3016 0.0707 O
0.3016 0.0707 0.9629 O
```

Summary:
ρ (g/cm3): 8.297
Energy relative to the elements, uncorrected (kJ per mole of atoms): -284.5
E_tot (eV/atom): -7.912

---

[3]
Crystalline Dy3Al7Pt4 at its relaxed geometry. Source: Alexandria via LeMat-Bulk, functional PBE.

POSCAR file:
```
Dy3Al7Pt4
1.0
-1.4374 -3.4692 1.9882
6.0671 -5.3957 -0.4882
4.2159 -0.2101 7.2217
Dy Al Pt
3 7 4
Direct
0.3072 0.1892 0.1963 Dy
0.6928 0.8108 0.8037 Dy
0.0000 0.5000 0.5000 Dy
0.3178 0.8374 0.5269 Al
0.4955 0.2151 0.7940 Al
0.8451 0.3862 0.9235 Al
0.6822 0.1626 0.4731 Al
0.1549 0.6138 0.0765 Al
0.0000 0.0000 0.0000 Al
0.5045 0.7849 0.2060 Al
0.6605 0.4585 0.2205 Pt
0.3395 0.5415 0.7795 Pt
0.8827 0.8938 0.3408 Pt
0.1173 0.1062 0.6592 Pt
```

Summary:
ρ (g/cm3): 9.376
E_tot (eV/atom): -5.599
Energy of formation from the pure elements (meV/atom): -1015

---

[4]
Crystalline LaCo2Pb at its relaxed geometry. Source: Alexandria via LeMat-Bulk, functional PBE.

POSCAR file:
```
LaCo2Pb
1.0
-1.1567 4.4098 -4.5845
-4.1657 2.1179 -4.4681
-2.2276 3.0078 1.6367
Co La Pb
2 1 1
Direct
0.0816 0.0816 0.9184 Co
0.6838 0.6838 0.8161 Co
0.4868 0.4868 0.5131 La
0.2477 0.2477 0.2524 Pb
```

Summary:
ρ (g/cm3): 8.540
E_tot (eV/atom): -5.565
Energy of formation from the pure elements (meV/atom): 147

---

[5]
Crystalline Na2MnAlB at its relaxed geometry. Source: Alexandria via LeMat-Bulk, functional PBE.

POSCAR file:
```
Na2MnAlB
1.0
-1.5645 -5.1104 -0.1212
1.2861 -0.2912 -4.3233
4.8802 -1.5310 1.5549
Na B Mn Al
2 1 1 1
Direct
0.0000 0.0000 0.5000 Na
0.5000 0.0000 0.0000 Na
0.5000 0.5000 0.5000 B
0.0000 0.5000 0.0000 Mn
0.0000 0.0000 0.0000 Al
```

Summary:
ρ (g/cm3): 1.783
Energy above the lowest structure with this stoichiometry (meV/atom): 790
E_tot (eV/atom): -2.870
Energy of formation from the pure elements (meV/atom): 1575

---

[6]
Crystalline SrSb2IN at its relaxed geometry. Source: Alexandria via LeMat-Bulk, functional PBE.

POSCAR file:
```
SrSb2IN
1.0
6.2819 0.0000 0.0000
0.0000 6.2819 0.0000
0.0000 0.0000 6.0489
I Sb N Sr
1 2 1 1
Direct
0.0000 0.0000 0.5000 I
0.0000 0.5000 0.0000 Sb
0.5000 0.0000 0.0000 Sb
0.5000 0.5000 0.5000 N
0.0000 0.0000 0.0000 Sr
```

Summary:
ρ (g/cm3): 3.284
Energy above the lowest structure with this stoichiometry (meV/atom): 1568
Energy relative to the elements, uncorrected (kJ per mole of atoms): 167.6
E_tot (eV/atom): -2.223